[1]
Below is crystalline Tb3ErPb12 at its relaxed geometry, with properties calculated at the PBE level.

```
Tb3ErPb12
1.0
4.9149 0.0000 0.0000
0.0000 4.9149 0.0000
0.0000 0.0000 19.2513
Er Tb Pb
1 3 12
Direct
0.0000 0.0000 0.0000
0.0000 0.0000 0.2496
0.0000 0.0000 0.7504
0.0000 0.0000 0.5000
0.5000 0.5000 0.0000
0.5000 0.0000 0.6253
0.0000 0.5000 0.1239
0.0000 0.5000 0.8761
0.5000 0.0000 0.8761
0.0000 0.5000 0.6253
0.5000 0.5000 0.5000
0.5000 0.0000 0.1239
0.0000 0.5000 0.3747
0.5000 0.5000 0.7507
0.5000 0.5000 0.2493
0.5000 0.0000 0.3747
```

Computed properties:
SG   P4/mmm
Calculated formation energy   -286 meV per atom
Spin magnetization   0.00 μB per formula unit

***

[2]
Below is crystalline Tb2ErPb at its relaxed geometry, with properties calculated at the PBE level.

```
Tb2ErPb
1.0
4.8683 0.0000 0.0000
0.0000 4.8440 0.0000
0.0000 0.0000 4.8440
Tb Pb Er
2 1 1
Direct
0.0000 0.5000 0.0000
0.0000 0.0000 0.5000
0.5000 0.0000 0.0000
0.5000 0.5000 0.5000
```

Computed properties:
SG   P4/mmm
Calculated formation energy   -280 meV per atom
Energy above the most stable polymorph in this dataset   0.00 kcal/mol of atoms
Spin magnetization   0.00 μB per formula unit

***

[3]
Below is crystalline Tb8Er6Pb at its relaxed geometry, with properties calculated at the PBE level.

```
Tb8Er6Pb
1.0
-1.2312 0.2525 6.6340
-8.8625 1.2180 -1.6912
3.3401 -8.4171 0.9402
Tb Er Pb
8 6 1
Direct
0.1915 0.6667 0.3333
0.8820 0.9885 0.3098
0.8820 0.6902 0.6787
0.8085 0.3333 0.6667
0.1180 0.0115 0.6902
0.1180 0.6787 0.9885
0.8820 0.3213 0.0115
0.1180 0.3098 0.3213
0.6083 0.3967 0.3213
0.6083 0.6787 0.0754
0.3917 0.6033 0.6787
0.3917 0.0754 0.3967
0.3917 0.3213 0.9246
0.6083 0.9246 0.6033
0.5000 0.0000 0.0000
```

Computed properties:
SG   P-3
Calculated formation energy   178 meV per atom
Spin magnetization   0.00 μB per formula unit

***

[4]
Below is crystalline TbEr4Pb at its relaxed geometry, with properties calculated at the PBE level.

```
TbEr4Pb
1.0
5.2933 0.0000 0.0000
0.0000 6.7319 0.0000
-2.6467 0.0000 11.2965
Er Tb Pb
8 2 2
Direct
0.1463 0.7327 0.2927
0.8537 0.2327 0.7073
0.7109 0.4823 0.4217
0.2891 0.9823 0.5783
0.7129 0.9810 0.4259
0.5602 0.5029 0.1205
0.4398 0.0029 0.8795
0.2871 0.4810 0.5741
0.8584 0.7364 0.7168
0.1416 0.2364 0.2832
0.4249 0.4982 0.8497
0.5751 0.9982 0.1503
```

Computed properties:
SG   Cmc2_1
Calculated formation energy   33 meV per atom
Spin magnetization   0.00 μB per formula unit